# 1
Computed, not measured: a relaxed structure of Nb6FeRe5 at the PBE-GGA level of DFT.

Cell: 4.5233 6.3939 7.8201 Å, 114.13 106.81 90.00°
With the nearest neighbours (Å) after each atom.
Fractional coordinates of all 12 atoms:
Re  0.6660  0.1660  0.3320  8 Nb 2.75-2.79
Re  0.3335  0.3335  0.6670  8 Nb 2.77
Re  0.0000  0.5000  0.0000  8 Nb 2.76-2.78
Re  0.6665  0.6665  0.3330  8 Nb 2.77
Re  0.3340  0.8340  0.6680  8 Nb 2.75-2.79
Nb  0.8345  0.5859  0.6689  1 Fe 2.75, 7 Re 2.76-2.79
Nb  0.8345  0.0830  0.6689  1 Fe 2.75, 7 Re 2.76-2.79
Nb  0.5000  0.7526  0.0000  6 Re 2.75-2.78, 2 Fe 2.76
Nb  0.5000  0.2474  0.0000  6 Re 2.75-2.78, 2 Fe 2.76
Nb  0.1655  0.9170  0.3311  1 Fe 2.75, 7 Re 2.76-2.79
Nb  0.1655  0.4141  0.3311  1 Fe 2.75, 7 Re 2.76-2.79
Fe  0.0000  0.0000  0.0000  8 Nb 2.75-2.76

## Properties
Electronic total energy in eV/cell: -133.856
Space group: Immm (71)
D(E_F) in states/eV per cell: 6.634

# 2
Computed, not measured: a relaxed structure of Ca2YCr at the PBE-GGA level of DFT.

Cell: 5.5762 3.5125 6.4456 Å, 79.72 90.00 90.00°
With the nearest neighbours (Å) after each atom.
Fractional coordinates of all 4 atoms:
Y  0.5000  0.7500  0.7500  2 Cr 3.38, 4 Ca 3.51, 2 Y 3.51
Cr  0.5000  0.2500  0.2500  4 Ca 3.33, 2 Y 3.38, 2 Cr 3.51
Ca  0.0000  0.0455  0.0111  2 Cr 3.33, 5 Ca 3.39-3.62, 2 Y 3.51
Ca  0.0000  0.4545  0.4889  2 Cr 3.33, 5 Ca 3.39-3.62, 2 Y 3.51

## Properties
Excess energy over the best structure of this formula in the dataset in eV/f.u.: 0.82
Space group: P2/m (10)
D(E_F) in states/eV per cell: 4.133

# 3
Computed, not measured: a relaxed structure of Sc2CuSnH at the PBE-GGA level of DFT.

Cell: 4.4361 4.4361 4.0706 Å, 90.00 90.00 90.00°
With the nearest neighbours (Å) after each atom.
Fractional coordinates of all 5 atoms:
Sc  0.0000  0.5000  0.0000  2 H 2.22
Sc  0.5000  0.0000  0.0000  2 H 2.22
H  0.0000  0.0000  0.0000  2 Cu 2.04, 4 Sc 2.22
Sn  0.5000  0.5000  0.5000  8 Sc 3.01, 4 Cu 3.14
Cu  0.0000  0.0000  0.5000  2 H 2.04

## Properties
Electronic total energy in eV/cell: -26.307
Space group: P4/mmm (123)
D(E_F) in states/eV per cell: 2.203

# 4
Computed, not measured: a relaxed structure of Tb3CeRu3 at the PBE-GGA level of DFT.

Cell: 5.8283 6.0107 5.8283 Å, 110.11 108.83 110.11°
With the nearest neighbours (Å) after each atom.
Fractional coordinates of all 7 atoms:
Tb  0.4082  0.0002  0.0000  6 Ru 2.85-3.15
Tb  0.5918  0.5920  0.5918  6 Ru 2.85-3.15
Tb  0.0000  0.0002  0.4082  6 Ru 2.85-3.15
Ce  0.0000  0.4038  0.0000  3 Ru 2.61
Ru  0.4728  0.5006  0.0000  1 Ce 2.61, 3 Tb 2.85-2.90
Ru  0.5272  0.0277  0.5272  1 Ce 2.61, 3 Tb 2.85-2.90
Ru  0.0000  0.5006  0.4728  1 Ce 2.61, 3 Tb 2.85-2.90

## Properties
Excess energy over the best structure of this formula in the dataset in eV/f.u.: 0.00
Space group: R3m (160)
D(E_F) in states/eV per cell: 4.759

# 5
Computed, not measured: a relaxed structure of BeCoRu2 at the PBE-GGA level of DFT.

Cell: 4.3913 4.3913 4.3913 Å, 130.80 130.80 72.13°
With the nearest neighbours (Å) after each atom.
Fractional coordinates of all 4 atoms:
Ru  0.0000  0.0000  0.0000  4 Be 2.55, 4 Co 2.55, 4 Ru 2.59
Ru  0.5000  0.5000  0.0000  4 Co 2.55, 4 Be 2.55, 4 Ru 2.59
Co  0.7500  0.2500  0.5000  8 Ru 2.55, 4 Be 2.59
Be  0.2500  0.7500  0.5000  8 Ru 2.55, 4 Co 2.59

## Properties
Electronic total energy in eV/cell: -29.027
Space group: I4/mmm (139)
D(E_F) in states/eV per cell: 4.035

# 6
Computed, not measured: a relaxed structure of Sr2SnBiBr at the PBE-GGA level of DFT.

Cell: 5.9117 5.5897 5.9117 Å, 90.00 90.00 90.00°
With the nearest neighbours (Å) after each atom.
Fractional coordinates of all 5 atoms:
Sr  0.0000  0.0000  0.5000  2 Br 2.96
Sr  0.5000  0.0000  0.0000  2 Br 2.96
Bi  0.5000  0.5000  0.5000  8 Sr 4.07, 4 Sn 4.18
Br  0.0000  0.0000  0.0000  2 Sn 2.79, 4 Sr 2.96
Sn  0.0000  0.5000  0.0000  2 Br 2.79

## Properties
Formation energy from raw total energies in eV/atom: -0.42
Space group: P4/mmm (123)
D(E_F) in states/eV per cell: 3.455

# 7
Computed, not measured: a relaxed structure of LaZr2Ni at the PBE-GGA level of DFT.

Cell: 3.2998 3.2998 8.4451 Å, 90.00 90.00 90.00°
With the nearest neighbours (Å) after each atom.
Fractional coordinates of all 4 atoms:
La  0.0000  0.0000  0.5442  4 Ni 3.15, 4 La 3.30, 1 Zr 3.49
Ni  0.5000  0.5000  0.7952  4 Zr 2.70
Zr  0.0000  0.0000  0.9571  4 Ni 2.70
Zr  0.5000  0.5000  0.2035  8 Zr 3.13-3.30, 1 Ni 3.45

## Properties
Excess energy over the best structure of this formula in the dataset in eV/f.u.: 0.00
Space group: P4mm (99)
D(E_F) in states/eV per cell: 4.599

# 8
Computed, not measured: a relaxed structure of LiZnCuAg at the PBE-GGA level of DFT.

Cell: 4.3378 4.3378 4.3378 Å, 60.00 60.00 60.00°
With the nearest neighbours (Å) after each atom.
Fractional coordinates of all 4 atoms:
Zn  0.5000  0.5000  0.5000  4 Cu 2.66, 4 Ag 2.66
Cu  0.2500  0.2500  0.2500  4 Li 2.66, 4 Zn 2.66
Ag  0.7500  0.7500  0.7500  4 Li 2.66, 4 Zn 2.66
Li  0.0000  0.0000  0.0000  4 Ag 2.66, 4 Cu 2.66

## Properties
Excess energy over the best structure of this formula in the dataset in eV/f.u.: 0.02
Space group: F-43m (216)
D(E_F) in states/eV per cell: 1.686